VASP calculation (GGA-PBE) on crystalline GdThScPa at its relaxed geometry.

Geometry as CIF:
```
data_GdThScPa
_chemical_formula_sum 'Gd1 Th1 Sc1 Pa1'
_cell_length_a 5.447
_cell_length_b 5.447
_cell_length_c 5.447
_cell_angle_alpha 60.00
_cell_angle_beta 60.00
_cell_angle_gamma 60.00
_space_group_name_H-M_alt 'P 1'
_space_group_IT_number 1
loop_
_space_group_symop_operation_xyz
'x,y,z'
loop_
_atom_site_label
_atom_site_type_symbol
_atom_site_fract_x
_atom_site_fract_y
_atom_site_fract_z
Gd1 Gd 0.750 0.750 0.750
Sc1 Sc 0.000 0.000 0.000
Pa1 Pa 0.250 0.250 0.250
Th1 Th 0.500 0.500 0.500
```

**VASP energy**: -36.003 eV for the cell shown
**Space-group type**: F-43m
**DOS at the Fermi energy**: 11.40 states/eV per cell
**Energy of formation from the pure elements**: 331 meV/atom


VASP calculation (GGA-PBE) on crystalline GdZrScPa at its relaxed geometry.

Geometry as CIF:
```
data_GdZrScPa
_chemical_formula_sum 'Gd1 Zr1 Sc1 Pa1'
_cell_length_a 5.264
_cell_length_b 5.264
_cell_length_c 5.264
_cell_angle_alpha 60.00
_cell_angle_beta 60.00
_cell_angle_gamma 60.00
_space_group_name_H-M_alt 'P 1'
_space_group_IT_number 1
loop_
_space_group_symop_operation_xyz
'x,y,z'
loop_
_atom_site_label
_atom_site_type_symbol
_atom_site_fract_x
_atom_site_fract_y
_atom_site_fract_z
Gd1 Gd 0.500 0.500 0.500
Sc1 Sc 0.250 0.250 0.250
Pa1 Pa 0.000 0.000 0.000
Zr1 Zr 0.750 0.750 0.750
```

**VASP energy**: -37.486 eV for the cell shown
**Space-group type**: F-43m
**DOS at the Fermi energy**: 7.93 states/eV per cell
**Energy of formation from the pure elements**: 243 meV/atom


VASP calculation (GGA-PBE) on crystalline GdPaTeSe at its relaxed geometry.

Geometry as CIF:
```
data_GdPaTeSe
_chemical_formula_sum 'Gd1 Pa1 Te1 Se1'
_cell_length_a 5.202
_cell_length_b 5.202
_cell_length_c 5.202
_cell_angle_alpha 60.00
_cell_angle_beta 60.00
_cell_angle_gamma 60.00
_space_group_name_H-M_alt 'P 1'
_space_group_IT_number 1
loop_
_space_group_symop_operation_xyz
'x,y,z'
loop_
_atom_site_label
_atom_site_type_symbol
_atom_site_fract_x
_atom_site_fract_y
_atom_site_fract_z
Gd1 Gd 0.500 0.500 0.500
Pa1 Pa 0.000 0.000 0.000
Te1 Te 0.750 0.750 0.750
Se1 Se 0.250 0.250 0.250
```

**VASP energy**: -34.247 eV for the cell shown
**Raw formation energy**: -390 kJ/mol of formula units
**Space-group type**: F-43m
**DOS at the Fermi energy**: 6.37 states/eV per cell


VASP calculation (GGA-PBE) on crystalline Gd2PaSi at its relaxed geometry.

Geometry as CIF:
```
data_Gd2PaSi
_chemical_formula_sum 'Gd2 Pa1 Si1'
_cell_length_a 4.508
_cell_length_b 4.606
_cell_length_c 4.606
_cell_angle_alpha 90.00
_cell_angle_beta 90.00
_cell_angle_gamma 90.00
_space_group_name_H-M_alt 'P 1'
_space_group_IT_number 1
loop_
_space_group_symop_operation_xyz
'x,y,z'
loop_
_atom_site_label
_atom_site_type_symbol
_atom_site_fract_x
_atom_site_fract_y
_atom_site_fract_z
Gd1 Gd 0.000 0.000 0.500
Gd2 Gd 0.000 0.500 0.000
Si1 Si 0.500 0.000 0.000
Pa1 Pa 0.500 0.500 0.500
```

**VASP energy**: -43.514 eV for the cell shown
**Raw formation energy**: -42 kJ/mol of formula units
**Space-group type**: P4/mmm
**DOS at the Fermi energy**: 6.05 states/eV per cell


VASP calculation (GGA-PBE) on crystalline GdPaSi4 at its relaxed geometry.

Geometry as CIF:
```
data_GdPaSi4
_chemical_formula_sum 'Gd1 Pa1 Si4'
_cell_length_a 5.307
_cell_length_b 5.307
_cell_length_c 5.307
_cell_angle_alpha 60.00
_cell_angle_beta 60.00
_cell_angle_gamma 60.00
_space_group_name_H-M_alt 'P 1'
_space_group_IT_number 1
loop_
_space_group_symop_operation_xyz
'x,y,z'
loop_
_atom_site_label
_atom_site_type_symbol
_atom_site_fract_x
_atom_site_fract_y
_atom_site_fract_z
Gd1 Gd 0.000 0.000 0.000
Si1 Si 0.627 0.627 0.120
Si2 Si 0.627 0.120 0.627
Si3 Si 0.627 0.627 0.627
Si4 Si 0.120 0.627 0.627
Pa1 Pa 0.250 0.250 0.250
```

**VASP energy**: -47.017 eV for the cell shown
**Raw formation energy**: -169 kJ/mol of formula units
**Space-group type**: F-43m
**DOS at the Fermi energy**: 4.25 states/eV per cell


VASP calculation (GGA-PBE) on crystalline Gd2PaSi at its relaxed geometry.

Geometry as CIF:
```
data_Gd2PaSi
_chemical_formula_sum 'Gd2 Pa1 Si1'
_cell_length_a 5.162
_cell_length_b 5.162
_cell_length_c 5.162
_cell_angle_alpha 60.00
_cell_angle_beta 60.00
_cell_angle_gamma 60.00
_space_group_name_H-M_alt 'P 1'
_space_group_IT_number 1
loop_
_space_group_symop_operation_xyz
'x,y,z'
loop_
_atom_site_label
_atom_site_type_symbol
_atom_site_fract_x
_atom_site_fract_y
_atom_site_fract_z
Gd1 Gd 0.750 0.750 0.750
Gd2 Gd 0.250 0.250 0.250
Si1 Si 0.000 0.000 0.000
Pa1 Pa 0.500 0.500 0.500
```

**VASP energy**: -42.374 eV for the cell shown
**Raw formation energy**: 68 kJ/mol of formula units
**Space-group type**: Fm-3m
**DOS at the Fermi energy**: 6.61 states/eV per cell


VASP calculation (GGA-PBE) on crystalline GdPaZnSi at its relaxed geometry.

Geometry as CIF:
```
data_GdPaZnSi
_chemical_formula_sum 'Gd1 Pa1 Zn1 Si1'
_cell_length_a 4.992
_cell_length_b 4.992
_cell_length_c 4.992
_cell_angle_alpha 60.00
_cell_angle_beta 60.00
_cell_angle_gamma 60.00
_space_group_name_H-M_alt 'P 1'
_space_group_IT_number 1
loop_
_space_group_symop_operation_xyz
'x,y,z'
loop_
_atom_site_label
_atom_site_type_symbol
_atom_site_fract_x
_atom_site_fract_y
_atom_site_fract_z
Gd1 Gd 0.750 0.750 0.750
Zn1 Zn 0.500 0.500 0.500
Pa1 Pa 0.250 0.250 0.250
Si1 Si 0.000 0.000 0.000
```

**VASP energy**: -31.097 eV for the cell shown
**Raw formation energy**: -79 kJ/mol of formula units
**Space-group type**: F-43m
**DOS at the Fermi energy**: 7.19 states/eV per cell


VASP calculation (GGA-PBE) on crystalline SmGd2Pa at its relaxed geometry.

Geometry as CIF:
```
data_SmGd2Pa
_chemical_formula_sum 'Sm1 Gd2 Pa1'
_cell_length_a 4.963
_cell_length_b 4.939
_cell_length_c 4.939
_cell_angle_alpha 90.00
_cell_angle_beta 90.00
_cell_angle_gamma 90.00
_space_group_name_H-M_alt 'P 1'
_space_group_IT_number 1
loop_
_space_group_symop_operation_xyz
'x,y,z'
loop_
_atom_site_label
_atom_site_type_symbol
_atom_site_fract_x
_atom_site_fract_y
_atom_site_fract_z
Gd1 Gd 0.000 0.000 0.500
Gd2 Gd 0.000 0.500 0.000
Pa1 Pa 0.500 0.500 0.500
Sm1 Sm 0.500 0.000 0.000
```

**VASP energy**: -41.408 eV for the cell shown
**Space-group type**: P4/mmm
**DOS at the Fermi energy**: 6.40 states/eV per cell
**Energy of formation from the pure elements**: 242 meV/atom


VASP calculation (GGA-PBE) on crystalline SmGdPa at its relaxed geometry.

Geometry as CIF:
```
data_SmGdPa
_chemical_formula_sum 'Sm1 Gd1 Pa1'
_cell_length_a 3.446
_cell_length_b 3.446
_cell_length_c 8.652
_cell_angle_alpha 90.00
_cell_angle_beta 90.00
_cell_angle_gamma 120.00
_space_group_name_H-M_alt 'P 1'
_space_group_IT_number 1
loop_
_space_group_symop_operation_xyz
'x,y,z'
loop_
_atom_site_label
_atom_site_type_symbol
_atom_site_fract_x
_atom_site_fract_y
_atom_site_fract_z
Gd1 Gd 0.333 0.667 0.685
Pa1 Pa 0.000 0.000 0.998
Sm1 Sm 0.667 0.333 0.317
```

**VASP energy**: -27.859 eV for the cell shown
**Space-group type**: P3m1
**DOS at the Fermi energy**: 4.69 states/eV per cell
**Energy of formation from the pure elements**: 146 meV/atom


VASP calculation (GGA-PBE) on crystalline Sm2GdPa at its relaxed geometry.

Geometry as CIF:
```
data_Sm2GdPa
_chemical_formula_sum 'Sm2 Gd1 Pa1'
_cell_length_a 4.969
_cell_length_b 4.970
_cell_length_c 4.970
_cell_angle_alpha 90.00
_cell_angle_beta 90.00
_cell_angle_gamma 90.00
_space_group_name_H-M_alt 'P 1'
_space_group_IT_number 1
loop_
_space_group_symop_operation_xyz
'x,y,z'
loop_
_atom_site_label
_atom_site_type_symbol
_atom_site_fract_x
_atom_site_fract_y
_atom_site_fract_z
Gd1 Gd 0.500 0.000 0.000
Pa1 Pa 0.500 0.500 0.500
Sm1 Sm 0.000 0.000 0.500
Sm2 Sm 0.000 0.500 0.000
```

**VASP energy**: -32.019 eV for the cell shown
**Space-group type**: P4/mmm
**DOS at the Fermi energy**: 6.05 states/eV per cell
**Energy of formation from the pure elements**: 249 meV/atom


VASP calculation (GGA-PBE) on crystalline SmGd2Pa at its relaxed geometry.

Geometry as CIF:
```
data_SmGd2Pa
_chemical_formula_sum 'Sm1 Gd2 Pa1'
_cell_length_a 3.425
_cell_length_b 3.425
_cell_length_c 10.275
_cell_angle_alpha 90.00
_cell_angle_beta 90.00
_cell_angle_gamma 90.00
_space_group_name_H-M_alt 'P 1'
_space_group_IT_number 1
loop_
_space_group_symop_operation_xyz
'x,y,z'
loop_
_atom_site_label
_atom_site_type_symbol
_atom_site_fract_x
_atom_site_fract_y
_atom_site_fract_z
Gd1 Gd 0.000 0.000 0.772
Gd2 Gd 0.000 0.000 0.228
Pa1 Pa 0.500 0.500 0.000
Sm1 Sm 0.500 0.500 0.500
```

**VASP energy**: -41.880 eV for the cell shown
**Space-group type**: P4/mmm
**DOS at the Fermi energy**: 6.19 states/eV per cell
**Energy of formation from the pure elements**: 124 meV/atom


VASP calculation (GGA-PBE) on crystalline SmGd2Pa at its relaxed geometry.

Geometry as CIF:
```
data_SmGd2Pa
_chemical_formula_sum 'Sm1 Gd2 Pa1'
_cell_length_a 3.351
_cell_length_b 3.351
_cell_length_c 12.471
_cell_angle_alpha 82.28
_cell_angle_beta 82.28
_cell_angle_gamma 60.00
_space_group_name_H-M_alt 'P 1'
_space_group_IT_number 1
loop_
_space_group_symop_operation_xyz
'x,y,z'
loop_
_atom_site_label
_atom_site_type_symbol
_atom_site_fract_x
_atom_site_fract_y
_atom_site_fract_z
Gd1 Gd 0.086 0.086 0.742
Gd2 Gd 0.914 0.914 0.258
Pa1 Pa 0.000 0.000 0.000
Sm1 Sm 0.500 0.500 0.500
```

**VASP energy**: -41.188 eV for the cell shown
**Space-group type**: R-3m
**DOS at the Fermi energy**: 5.77 states/eV per cell
**Energy of formation from the pure elements**: 297 meV/atom